ScSiSe2 | GGA-PBEsol | optimized geometry

Computed properties:
V: 19.80 A^3/atom
DOS at the Fermi energy: 2.211 states/eV per cell
total moment: 0.000 Bohr magnetons per cell
formation energy from raw total energies: -0.704 eV per atom
space-group type: No. 166

a = 3.796 Å, b = 3.796 Å, c = 6.715 Å
α = 73.58°, β = 73.58°, γ = 60.00°
Sites, in units of the cell vectors:
Sc 0.000 0.000 0.000
Se 0.246 0.246 0.261
Se 0.754 0.754 0.739
Si 0.500 0.500 0.500

ScSiSe2 | GGA-PBEsol | optimized geometry

Computed properties:
V: 22.10 A^3/atom
DOS at the Fermi energy: 3.607 states/eV per cell
total moment: 0.010 Bohr magnetons per cell
formation energy from raw total energies: -0.621 eV per atom
space-group type: No. 160

a = 3.577 Å, b = 3.577 Å, c = 8.241 Å
α = 77.47°, β = 77.47°, γ = 60.00°
Sites, in units of the cell vectors:
Sc 0.254 0.254 0.238
Se 0.982 0.982 0.054
Se 0.770 0.770 0.691
Si 0.494 0.494 0.517

ScSi2Se | GGA-PBEsol | optimized geometry

Computed properties:
V: 17.95 A^3/atom
DOS at the Fermi energy: 1.460 states/eV per cell
total moment: 0.000 Bohr magnetons per cell
formation energy from raw total energies: -0.475 eV per atom
space-group type: No. 12

a = 3.609 Å, b = 3.758 Å, c = 5.593 Å
α = 89.17°, β = 108.82°, γ = 90.00°
Sites, in units of the cell vectors:
Sc 0.500 0.500 0.000
Se 0.000 0.000 0.000
Si 0.239 0.276 0.478
Si 0.761 0.724 0.522

ScSi2Se | GGA-PBEsol | optimized geometry

Computed properties:
V: 18.21 A^3/atom
DOS at the Fermi energy: 1.654 states/eV per cell
total moment: 0.000 Bohr magnetons per cell
formation energy from raw total energies: -0.326 eV per atom
space-group type: No. 123

a = 3.817 Å, b = 3.825 Å, c = 4.988 Å
α = 90.00°, β = 90.00°, γ = 90.00°
Sites, in units of the cell vectors:
Sc 0.500 0.500 0.000
Se 0.500 0.500 0.500
Si 0.000 0.000 0.759
Si 0.000 0.000 0.241

ScSi2Se | GGA-PBEsol | optimized geometry

Computed properties:
V: 17.71 A^3/atom
DOS at the Fermi energy: 2.532 states/eV per cell
total moment: 0.000 Bohr magnetons per cell
formation energy from raw total energies: -0.111 eV per atom
space-group type: No. 216

a = 4.645 Å, b = 4.645 Å, c = 4.645 Å
α = 60.00°, β = 60.00°, γ = 60.00°
Sites, in units of the cell vectors:
Sc 0.500 0.500 0.500
Se 0.250 0.250 0.250
Si 0.000 0.000 0.000
Si 0.750 0.750 0.750

ScSi2Se | GGA-PBEsol | optimized geometry

Computed properties:
V: 17.47 A^3/atom
DOS at the Fermi energy: 2.112 states/eV per cell
total moment: 0.000 Bohr magnetons per cell
formation energy from raw total energies: -0.193 eV per atom
space-group type: No. 123

a = 3.306 Å, b = 4.597 Å, c = 4.597 Å
α = 90.00°, β = 90.00°, γ = 90.00°
Sites, in units of the cell vectors:
Sc 0.500 0.500 0.500
Se 0.500 0.000 0.000
Si 0.000 0.000 0.500
Si 0.000 0.500 0.000

ScSiSe2 | GGA-PBEsol | optimized geometry

Computed properties:
V: 19.87 A^3/atom
DOS at the Fermi energy: 2.009 states/eV per cell
total moment: 0.000 Bohr magnetons per cell
formation energy from raw total energies: -0.797 eV per atom
space-group type: No. 123

a = 3.816 Å, b = 3.816 Å, c = 5.458 Å
α = 90.00°, β = 90.00°, γ = 90.00°
Sites, in units of the cell vectors:
Sc 0.500 0.500 0.500
Se 0.000 0.000 0.500
Se 0.500 0.500 0.000
Si 0.000 0.000 0.000

Sc2SnSe2 | GGA-PBEsol | optimized geometry

Computed properties:
V: 24.48 A^3/atom
DOS at the Fermi energy: 3.744 states/eV per cell
total moment: 0.004 Bohr magnetons per cell
formation energy from raw total energies: -0.786 eV per atom
space-group type: No. 139

a = 4.612 Å, b = 4.612 Å, c = 6.613 Å
α = 110.41°, β = 110.41°, γ = 90.00°
Sites, in units of the cell vectors:
Sc 0.362 0.362 0.723
Sc 0.638 0.638 0.277
Sn 0.000 0.000 0.000
Se 0.250 0.750 0.500
Se 0.750 0.250 0.500